No. 1
Crystalline GdMnSn2 at its relaxed geometry, computed with GGA-PBE.

The value obtained for the formation energy is -1.1 eV/f.u.

Unit cell a=4.4977 b=4.4977 c=6.0375 alpha=68.13 beta=68.13 gamma=60.00
Last column: nearest neighbours and their distance in Å.
Sites, in units of the cell vectors:
Sn: 0.2264 0.2264 0.3207  3 Mn 2.77
Sn: 0.7736 0.7736 0.6793  3 Mn 2.77
Mn: 0.5000 0.5000 0.5000  6 Sn 2.77
Gd: 0.0000 0.0000 0.0000  6 Sn 3.13

=====

No. 2
Crystalline RbSiAu at its relaxed geometry, computed with GGA-PBE.

Its uncorrected formation energy is -0.09 eV/atom. The energy above the most stable polymorph in this dataset is 0.345 eV/f.u.

Unit cell a=5.7308 b=4.2416 c=4.2416 alpha=120.00 beta=90.00 gamma=90.00
Last column: nearest neighbours and their distance in Å.
Sites, in units of the cell vectors:
Rb: 0.6667 0.3333 0.6667  6 Si 3.77, 6 Au 3.77
Au: 0.1667 0.0000 0.0000  3 Si 2.45
Si: 0.1666 0.6667 0.3333  3 Au 2.45

=====

No. 3
Crystalline KRbInHg at its relaxed geometry, computed with GGA-PBE.

The value obtained for the formation energy is -0.5 eV/f.u. The energy above the most stable polymorph in this dataset is 0.000 eV/f.u.

Unit cell a=5.2305 b=5.2305 c=8.2666 alpha=90.26 beta=108.32 gamma=119.74
Last column: nearest neighbours and their distance in Å.
Sites, in units of the cell vectors:
K: 0.9910 0.8592 0.8502  3 Hg 3.63-3.64, 3 In 3.64-3.65
In: 0.4998 0.6148 0.1146  3 Hg 3.02-3.03
Hg: 0.8326 0.2806 0.1132  3 In 3.02-3.03
Rb: 0.3686 0.0499 0.4185  3 In 3.81-3.83, 3 Hg 3.82-3.83

=====

no.,N(E_F) (states/eV/f.u.),total magnetic moment (Bohr magnetons per cell)
1,2.27,10.04
2,2.53,0.00
3,3.01,0.00